Computed, not measured: a relaxed structure of HoInPb3 at the PBE-GGA level of DFT.

Output
E_tot ... -3.84 eV/atom
Crystal system ... monoclinic

a b c (Å): 7.977 6.144 4.432
angles (deg): 111.14 90.02 131.32
Fractional positions:
Ho 0.499 0.148 0.223
In 0.892 0.736 0.017
Pb 0.297 0.353 0.825
Pb 0.683 0.922 0.610
Pb 0.083 0.565 0.431

Computed, not measured: a relaxed structure of NdS6Br2 at the PBE-GGA level of DFT.

Output
E_tot ... -4.19 eV/atom
Crystal system ... triclinic
Formation energy without anion corrections ... -0.536 eV/atom

a b c (Å): 4.373 8.144 9.299
angles (deg): 113.65 93.11 91.63
Fractional positions:
Nd 0.000 0.000 0.000
S 0.900 0.502 0.286
S 0.100 0.498 0.714
S 0.889 0.714 0.693
S 0.906 0.278 0.543
S 0.094 0.722 0.457
S 0.111 0.286 0.307
Br 0.498 0.833 0.103
Br 0.502 0.167 0.897

Computed, not measured: a relaxed structure of RuPtIN2 at the PBE-GGA level of DFT.

Output
E_tot ... -5.15 eV/atom
Crystal system ... tetragonal
Formation energy without anion corrections ... 1.556 eV/atom
Polymorph energy (0 for the lowest one) ... 2.62 eV/f.u.

a b c (Å): 3.782 3.782 8.290
angles (deg): 90.00 90.00 90.00
Fractional positions:
I 0.000 0.000 0.500
Ru 0.500 0.500 0.500
Pt 0.000 0.000 0.000
N 0.000 0.500 0.000
N 0.500 0.000 0.000

Computed, not measured: a relaxed structure of NdMoN at the PBE-GGA level of DFT.

Output
E_tot ... -7.92 eV/atom
Crystal system ... orthorhombic
Formation energy without anion corrections ... 0.054 eV/atom

a b c (Å): 3.169 3.167 11.595
angles (deg): 90.00 90.00 120.01
Fractional positions:
N 0.610 0.220 0.000
N 0.279 0.558 0.500
Nd 0.612 0.225 0.361
Nd 0.612 0.225 0.639
Mo 0.276 0.553 0.891
Mo 0.276 0.553 0.109

Computed, not measured: a relaxed structure of K2SnC2O6 at the PBE-GGA level of DFT.

Output
E_tot ... -6.50 eV/atom
Crystal system ... monoclinic
Formation energy without anion corrections ... -1.553 eV/atom

a b c (Å): 5.474 5.478 7.267
angles (deg): 112.16 90.00 119.98
Fractional positions:
K 0.705 0.411 0.118
K 0.295 0.589 0.882
Sn 0.500 0.000 0.500
C 0.918 0.836 0.751
C 0.082 0.164 0.249
O 0.781 0.562 0.752
O 0.218 0.024 0.245
O 0.194 0.976 0.755
O 0.782 0.976 0.755
O 0.806 0.024 0.245
O 0.219 0.438 0.248

Computed, not measured: a relaxed structure of CdCu2Au at the PBE-GGA level of DFT.

Output
E_tot ... -2.89 eV/atom
Crystal system ... tetragonal

a b c (Å): 3.882 3.882 9.737
angles (deg): 78.50 78.50 90.00
Fractional positions:
Au 0.000 0.000 0.000
Au 0.750 0.250 0.500
Cu 0.649 0.125 0.250
Cu 0.101 0.625 0.250
Cu 0.375 0.351 0.750
Cu 0.875 0.899 0.750
Cd 0.500 0.500 0.000
Cd 0.250 0.750 0.500

Computed, not measured: a relaxed structure of AlTe2S at the PBE-GGA level of DFT.

Output
E_tot ... -3.49 eV/atom
Crystal system ... trigonal
Formation energy without anion corrections ... 0.046 eV/atom

a b c (Å): 8.598 8.598 8.598
angles (deg): 27.25 27.25 27.25
Fractional positions:
S 0.000 0.000 0.000
Te 0.897 0.897 0.897
Te 0.103 0.103 0.103
Al 0.500 0.500 0.500

Computed, not measured: a relaxed structure of NiAgCl3 at the PBE-GGA level of DFT.

Output
E_tot ... -3.12 eV/atom
Crystal system ... cubic
Formation energy without anion corrections ... -0.285 eV/atom
Polymorph energy (0 for the lowest one) ... 1.04 eV/f.u.

a b c (Å): 4.665 4.665 4.665
angles (deg): 90.00 90.00 90.00
Fractional positions:
Ni 0.000 0.000 0.000
Ag 0.500 0.500 0.500
Cl 0.000 0.500 0.000
Cl 0.000 0.000 0.500
Cl 0.500 0.000 0.000